# GGA+U CrSIO2, relaxed
# - Energy: -24.83 eV for the cell shown
data_CrSIO2
_chemical_formula_sum 'Cr1 S1 I1 O2'
_symmetry_space_group_name_H-M 'P 1'
_symmetry_Int_Tables_number 1
_symmetry_space_group_name_Hall 'P 1'
_cell_length_a 3.7674
_cell_length_b 3.7674
_cell_length_c 7.5691
_cell_angle_alpha 90.00
_cell_angle_beta 90.00
_cell_angle_gamma 90.00
loop_
_atom_site_label
_atom_site_fract_x
_atom_site_fract_y
_atom_site_fract_z
Cr1 0.0000 0.0000 0.0000
S1 0.5000 0.5000 0.5000
I1 0.0000 0.0000 0.5000
O1 0.0000 0.5000 0.0000
O2 0.5000 0.0000 0.0000